A relaxed structure of V3SbO7, computed with PBE with a Hubbard U.

POSCAR file:
```
V3SbO7
1.0
6.016 0.030 0.000
-2.055 5.654 0.000
0.000 0.000 7.073
V Sb O
6 2 14
direct
0.500 0.500 0.500
0.500 0.500 0.000
0.528 0.003 0.250
0.472 0.997 0.750
0.003 0.528 0.750
0.997 0.472 0.250
0.000 0.000 0.500
0.000 0.000 0.000
0.656 0.912 0.534
0.344 0.088 0.034
0.912 0.656 0.466
0.088 0.344 0.966
0.088 0.344 0.534
0.912 0.656 0.034
0.344 0.088 0.466
0.656 0.912 0.966
0.365 0.635 0.250
0.635 0.365 0.750
0.636 0.364 0.250
0.364 0.636 0.750
0.908 0.092 0.250
0.092 0.908 0.750
```

Results
Size of the total moment in μB per cell: 12.00
Space-group type: Cmcm (63)
Energy in eV per cell: -161.19